[1]
Density functional theory data (PBE-GGA) for an optimized crystal structure of Dy2PaIn.

abc: 3.4449 3.4449 9.2212
angles: 90.00 90.00 90.00
Closest atoms and distances in Å follow each position.
Element x y z (fractional)
Pa 0.5000 0.5000 0.5000  8 Dy 3.41, 4 Pa 3.44
In 0.5000 0.5000 0.0000  8 Dy 3.29, 4 In 3.44
Dy 0.0000 0.0000 0.7594  4 In 3.29, 4 Pa 3.41, 4 Dy 3.44
Dy 0.0000 0.0000 0.2406  4 In 3.29, 4 Pa 3.41, 4 Dy 3.44

## Properties
Total moment in Bohr magnetons per cell: 0.38
Energy in eV per atom: -5.476
Calculated volume in Å³ per atom: 27.36
ΔE to the lowest computed polymorph in eV per formula unit: 0.00
Space group: P4/mmm, No. 123
Energy of formation from the pure elements in meV/atom: -116.2

***

[2]
Density functional theory data (PBE-GGA) for an optimized crystal structure of DyPaIn.

abc: 3.2444 3.2444 7.8602
angles: 101.91 101.91 90.00
Closest atoms and distances in Å follow each position.
Element x y z (fractional)
Pa 0.6205 0.6205 0.2411  4 Pa 3.24, 4 In 3.36, 4 Dy 3.48
Dy 0.9461 0.9461 0.8922  4 Dy 3.24, 4 In 3.35, 4 Pa 3.48
In 0.2834 0.2834 0.5667  4 In 3.24, 4 Dy 3.35, 4 Pa 3.36

## Properties
Total moment in Bohr magnetons per cell: 0.00
Energy in eV per atom: -5.655
Calculated volume in Å³ per atom: 26.38
ΔE to the lowest computed polymorph in eV per formula unit: 0.00
Space group: I4mm, No. 107
Energy of formation from the pure elements in meV/atom: -42.6

***

[3]
Density functional theory data (PBE-GGA) for an optimized crystal structure of DyPaIn4.

abc: 5.9972 5.9972 5.9972
angles: 60.00 60.00 60.00
Closest atoms and distances in Å follow each position.
Element x y z (fractional)
Pa 0.0000 0.0000 0.0000  12 In 3.52, 4 Dy 3.67
In 0.6251 0.6251 0.1246  6 In 3.00
In 0.6251 0.1246 0.6251  6 In 3.00
In 0.6251 0.6251 0.6251  6 In 3.00
In 0.1246 0.6251 0.6251  6 In 3.00
Dy 0.2500 0.2500 0.2500  12 In 3.52, 4 Pa 3.67

## Properties
Total moment in Bohr magnetons per cell: 1.54
Energy in eV per atom: -4.251
Calculated volume in Å³ per atom: 25.42
Space group: F-43m, No. 216
Energy of formation from the pure elements in meV/atom: -75.6

***

[4]
Density functional theory data (PBE-GGA) for an optimized crystal structure of DyPaIn.

abc: 5.8858 5.4268 7.0416
angles: 76.90 65.30 57.16
Closest atoms and distances in Å follow each position.
Element x y z (fractional)
Pa 0.7500 0.5000 0.5000  2 Pa 2.94, 4 In 3.23
Pa 0.2500 0.5000 0.5000  2 Pa 2.94, 4 In 3.23
Dy 0.8216 0.3567 0.0000  3 Dy 3.22-3.25, 2 In 3.27, 4 Pa 3.58
Dy 0.1784 0.6433 0.0000  3 Dy 3.22-3.25, 2 In 3.27, 4 Pa 3.58
In 0.6128 0.0000 0.7744  1 In 2.89, 4 Pa 3.23
In 0.3872 0.0000 0.2256  1 In 2.89, 4 Pa 3.23

## Properties
Total moment in Bohr magnetons per cell: 2.04
Energy in eV per atom: -5.414
Calculated volume in Å³ per atom: 28.61
ΔE to the lowest computed polymorph in eV per formula unit: 0.72
Space group: Fmmm, No. 69
Energy of formation from the pure elements in meV/atom: 198.5